Entry 1:
Compound: Rb2NbAsF6
Source: the Alexandria database
Functional: PBE
Structure: relaxed

Cell lengths 6.0468, 6.0468, 11.2950 Å; angles 90.00, 90.00, 90.00 degrees
Closest atoms and distances in Å follow each position.
Space group I4/mmm (No. 139)
Asymmetric unit:
Rb1 0.0000 0.5000 0.2500  4 F 3.12
Nb1 0.0000 0.0000 0.0000  6 F 2.07-2.12
As1 0.0000 0.0000 0.5000  4 F 2.15
F1 0.0000 0.0000 0.1833  1 Nb 2.07
F2 0.2481 0.2481 0.0000  1 Nb 2.12, 1 As 2.15

Calculated values
N(E_F) ... 12.574 states/eV per cell
Formation energy without anion corrections ... -2.216 eV per atom
Total energy ... -5.00 eV/atom
Crystal system ... tetragonal

=====

Entry 2:
Compound: NbSnAs2F
Source: the Alexandria database
Functional: PBE
Structure: relaxed

Cell lengths 4.5506, 4.5506, 4.6580 Å; angles 90.00, 90.00, 90.00 degrees
Closest atoms and distances in Å follow each position.
Space group P4/mmm (No. 123)
Asymmetric unit:
Nb1 0.0000 0.0000 0.0000  4 Sn 3.22, 8 As 3.26
Sn1 0.5000 0.5000 0.0000  2 F 2.33
As1 0.0000 0.5000 0.5000  2 F 2.28
F1 0.5000 0.5000 0.5000  4 As 2.28, 2 Sn 2.33

Calculated values
N(E_F) ... 4.463 states/eV per cell
Formation energy without anion corrections ... 0.182 eV per atom
Total energy ... -4.87 eV/atom
Crystal system ... tetragonal

=====

Entry 3:
Compound: Nb2TeAsF
Source: the Alexandria database
Functional: PBE
Structure: relaxed

Cell lengths 4.9763, 4.9763, 4.0412 Å; angles 90.00, 90.00, 90.00 degrees
Closest atoms and distances in Å follow each position.
Space group P4/mmm (No. 123)
Asymmetric unit:
Nb1 0.0000 0.5000 0.0000  2 As 2.49
Te1 0.0000 0.0000 0.5000  8 Nb 3.21, 4 F 3.52
As1 0.5000 0.5000 0.0000  2 F 2.02
F1 0.5000 0.5000 0.5000  2 As 2.02

Calculated values
N(E_F) ... 4.840 states/eV per cell
Formation energy without anion corrections ... -0.010 eV per atom
Total energy ... -5.97 eV/atom
Crystal system ... tetragonal